1.
CaY2Au | PBE | relaxed

POSCAR file:
```
CaY2Au
1.0
-0.076 -6.640 0.534
-0.172 -5.883 -3.121
4.833 -2.284 -0.600
Y Ca Au
2 1 1
Cartesian
4.824 -2.306 -0.604 Y
3.185 -11.617 -2.490 Y
1.384 -3.227 -0.705 Ca
2.317 -7.344 -1.582 Au
```

Properties
* energy relative to the lowest polymorph listed for this composition: 0.066 eV per atom
* N(E_F): 5.0 states/eV/f.u.
* raw total energy: -0.17947 hartree per atom
* magnetization: 0.00 μB/f.u.
* space-group type: Cm, No. 8
* energy relative to the elements: -332 meV/atom

=====

2.
CaY2Au4 | PBE | relaxed

POSCAR file:
```
CaY2Au4
1.0
-5.089 -0.402 -3.394
3.929 -4.391 -1.690
-1.436 -0.698 5.918
Y Ca Au
2 1 4
Cartesian
-0.580 -2.396 -2.542 Y
-3.262 -0.550 1.262 Y
0.000 0.000 0.000 Ca
-2.544 -0.201 -1.697 Au
-1.298 -2.745 0.417 Au
-0.718 -0.349 2.959 Au
1.965 -2.195 -0.845 Au
```

Properties
* N(E_F): 5.2 states/eV/f.u.
* raw total energy: -0.17024 hartree per atom
* magnetization: 0.00 μB/f.u.
* space-group type: I4/mmm, No. 139
* energy relative to the elements: -627 meV/atom

=====

> Look up the magnetization of the second one.

0.00 μB/f.u.

=====

> Which value of raw total energy does entry 2 give?

-0.17024 hartree per atom